[1]
DFT (PBE) results for a relaxed Ba2CuIO6 crystal. Values from VASP.

```
&SYSTEM
  ibrav = 0, nat = 10, ntyp = 4
/
ATOMIC_SPECIES
Ba 137.33 Ba.upf
O 16.00 O.upf
I 126.90 I.upf
Cu 63.55 Cu.upf
CELL_PARAMETERS angstrom
5.870 -0.013 -0.333
-0.013 5.880 0.001
-2.695 -2.933 4.302
ATOMIC_POSITIONS angstrom
Ba 3.046 2.933 1.902
O 0.105 2.939 1.975
O 1.774 1.391 4.049
I -0.006 2.940 0.000
O 1.388 1.543 -0.078
O -1.305 1.405 4.223
O 4.468 1.529 -0.253
Cu 2.935 -0.006 -0.166
O 3.057 -0.006 1.995
Ba 0.117 0.000 2.068
```

Properties
The calculation puts the density of states at the Fermi level at 0.2706 states/eV/atom. As for the energy: -5.4100 eV per atom. As for the formation energy (no corrections): -1485.9 meV/atom.

[2]
DFT (PBE) results for a relaxed BaCuI2O8 crystal. Values from VASP.

```
&SYSTEM
  ibrav = 0, nat = 12, ntyp = 4
/
ATOMIC_SPECIES
O 16.00 O.upf
Cu 63.55 Cu.upf
I 126.90 I.upf
Ba 137.33 Ba.upf
CELL_PARAMETERS angstrom
-2.133 3.789 -3.168
-4.989 1.788 0.928
0.247 6.937 3.562
ATOMIC_POSITIONS angstrom
O -5.108 3.780 0.610
O -5.181 5.796 -1.722
O -2.661 4.086 -1.240
Cu 0.000 0.000 0.000
O -1.290 3.959 1.036
O -1.694 6.718 3.044
O -1.767 8.734 0.712
O -5.585 8.554 0.286
I -1.958 2.665 -0.063
Ba -3.438 6.257 0.661
I -4.917 9.849 1.385
O -4.215 8.428 2.562
```

Properties
The calculation puts the density of states at the Fermi level at 0.3177 states/eV/atom. As for the energy: -4.7114 eV per atom. As for the formation energy (no corrections): -646.0 meV/atom.

[3]
DFT (PBE) results for a relaxed BaCu2OsI crystal. Values from VASP.

```
&SYSTEM
  ibrav = 0, nat = 5, ntyp = 4
/
ATOMIC_SPECIES
I 126.90 I.upf
Cu 63.55 Cu.upf
Os 190.23 Os.upf
Ba 137.33 Ba.upf
CELL_PARAMETERS angstrom
-4.108 0.934 -2.506
-2.025 -4.627 1.596
-1.908 2.196 3.945
ATOMIC_POSITIONS angstrom
I -1.013 -2.313 0.798
Cu -0.954 1.098 1.973
Os 0.000 0.000 0.000
Ba -4.021 -0.748 1.518
Cu -2.054 0.467 -1.253
```

Properties
The calculation puts the density of states at the Fermi level at 1.1352 states/eV/atom. As for the energy: -4.1980 eV per atom. As for the formation energy (no corrections): 381.0 meV/atom.

[4]
DFT (PBE) results for a relaxed Ba2CuOsI crystal. Values from VASP.

```
&SYSTEM
  ibrav = 0, nat = 5, ntyp = 4
/
ATOMIC_SPECIES
Ba 137.33 Ba.upf
I 126.90 I.upf
Cu 63.55 Cu.upf
Os 190.23 Os.upf
CELL_PARAMETERS angstrom
6.218 0.000 0.000
0.000 4.604 0.000
0.000 0.000 6.218
ATOMIC_POSITIONS angstrom
Ba 3.109 0.000 0.000
I 3.109 2.302 3.109
Cu 0.000 0.000 0.000
Os 0.000 2.302 0.000
Ba 0.000 0.000 3.109
```

Properties
The calculation puts the density of states at the Fermi level at 0.6247 states/eV/atom. As for the energy: -3.9859 eV per atom. As for the formation energy (no corrections): 158.4 meV/atom.

Which value of energy does entry 2 give? -4.7114 eV per atom